Below is an optimized crystal structure of MoOs, with properties calculated at the GGA-PBE level.

```
MoOs
1.0
-1.169 -0.104 2.506
3.411 -8.650 -0.296
1.387 0.914 2.213
Mo Os
2 2
Direct
0.003 0.009 0.003
0.247 0.741 0.247
0.500 0.499 0.500
0.750 0.251 0.750
```

Results
The energy is -10.830 eV per atom. The space group is No. 166. Its crystal system is trigonal.